# CePm15Er4 PBE-GGA optimized geometry
# - total energy (eV per atom) = -4.7432
# - energy of formation from the pure elements (eV per atom) = 0.0290
# - size of the total moment (μB per formula unit) = 0.001
data_CePm15Er4
_cell_length_a 5.117
_cell_length_b 5.117
_cell_length_c 25.534
_cell_angle_alpha 90.00
_cell_angle_beta 90.00
_cell_angle_gamma 90.00
_symmetry_space_group_name_H-M 'P 4/m m m'
_symmetry_Int_Tables_number 123
_symmetry_space_group_name_Hall '-P 4 2'
loop_
_atom_site_label
_atom_site_fract_x
_atom_site_fract_y
_atom_site_fract_z
Ce1 0.000 0.000 0.000
Pm1 0.000 0.500 0.099
Pm2 0.000 0.500 0.300
Pm3 0.000 0.500 0.500
Pm4 0.500 0.500 0.000
Pm5 0.500 0.500 0.202
Pm6 0.500 0.500 0.400
Er1 0.000 0.000 0.200
Er2 0.000 0.000 0.400